VASP calculation (PBE-GGA) on a geometry-optimized AlSiMo2 structure.

Lattice parameters (Å, degrees): 4.941 4.941 2.770 100.24 100.24 112.19
Fractional coordinates of all 4 atoms:
Al1 0.000 0.000 0.000
Si1 0.500 0.500 0.000
Mo1 0.000 0.500 0.500
Mo2 0.500 0.000 0.500

## Properties
Energy relative to the elements, uncorrected   -34 kJ/mol of formula units
DOS(E_F)   2.48 states/eV/f.u.
Magnetization   0.000 μB/atom
E   -31.18 eV per cell
Energy above the lowest structure with this stoichiometry   0.217 eV/atom
Volume   14.8 Å³ per atom